# 1
An optimized crystal structure of ScAlCr. Source: the Alexandria database, functional PBE.

DOS at the Fermi energy   2.942 states/eV/f.u.
ΔH_f (0 K)   -0.02 eV per atom

Lattice parameters (Å, degrees): 4.519 4.519 3.101 90.00 90.00 120.00
Positions (direct):
Sc  0.000  0.000  0.000
Al  0.667  0.333  0.497
Cr  0.333  0.667  0.505

---

# 2
An optimized crystal structure of ScAlCr2. Source: the Alexandria database, functional PBE.

DOS at the Fermi energy   4.099 states/eV/f.u.
ΔH_f (0 K)   0.15 eV per atom

Lattice parameters (Å, degrees): 4.433 4.433 3.247 90.00 90.00 90.00
Positions (direct):
Sc  0.000  0.000  0.000
Al  0.500  0.500  0.000
Cr  0.000  0.500  0.500
Cr  0.500  0.000  0.500

---

# 3
An optimized crystal structure of ScAlCr. Source: the Alexandria database, functional PBE.

DOS at the Fermi energy   2.733 states/eV/f.u.
ΔH_f (0 K)   -0.21 eV per atom

Lattice parameters (Å, degrees): 12.859 12.859 12.859 23.72 23.72 23.72
Positions (direct):
Sc  0.040  0.040  0.040
Sc  0.181  0.181  0.181
Sc  0.268  0.268  0.268
Sc  0.732  0.732  0.732
Sc  0.819  0.819  0.819
Sc  0.960  0.960  0.960
Al  0.225  0.724  0.724
Al  0.276  0.276  0.775
Al  0.276  0.775  0.276
Al  0.724  0.225  0.724
Al  0.724  0.724  0.225
Al  0.775  0.276  0.276
Cr  0.000  0.500  0.500
Cr  0.382  0.382  0.382
Cr  0.500  0.000  0.500
Cr  0.500  0.500  0.000
Cr  0.500  0.500  0.500
Cr  0.618  0.618  0.618

---

# 4
An optimized crystal structure of Sc2AlCr. Source: the Alexandria database, functional PBE.

DOS at the Fermi energy   4.309 states/eV/f.u.
ΔH_f (0 K)   0.20 eV per atom

Lattice parameters (Å, degrees): 9.575 9.575 9.575 18.51 18.51 18.51
Positions (direct):
Sc  0.000  0.000  0.000
Sc  0.233  0.233  0.233
Al  0.752  0.752  0.752
Cr  0.489  0.489  0.489

---

# 5
An optimized crystal structure of ScAlCr. Source: the Alexandria database, functional PBE.

DOS at the Fermi energy   2.646 states/eV/f.u.
ΔH_f (0 K)   0.20 eV per atom

Lattice parameters (Å, degrees): 2.993 2.993 6.721 90.00 90.00 120.00
Positions (direct):
Sc  0.000  0.000  0.000
Al  0.333  0.667  0.376
Cr  0.667  0.333  0.679

---

# 6
An optimized crystal structure of ScAl2Cr2. Source: the Alexandria database, functional PBE.

DOS at the Fermi energy   4.402 states/eV/f.u.
ΔH_f (0 K)   -0.02 eV per atom

Lattice parameters (Å, degrees): 7.280 7.280 3.005 90.00 90.00 90.00
Positions (direct):
Sc  0.000  0.000  0.000
Sc  0.500  0.500  0.000
Al  0.126  0.374  0.000
Al  0.374  0.874  0.000
Al  0.626  0.126  0.000
Al  0.874  0.626  0.000
Cr  0.170  0.670  0.500
Cr  0.330  0.170  0.500
Cr  0.670  0.830  0.500
Cr  0.830  0.330  0.500

---

# 7
An optimized crystal structure of Sc2AlCr. Source: the Alexandria database, functional PBE.

DOS at the Fermi energy   4.114 states/eV/f.u.
ΔH_f (0 K)   -0.03 eV per atom

Lattice parameters (Å, degrees): 3.162 3.162 7.657 90.00 90.00 90.00
Positions (direct):
Sc  0.000  0.000  0.000
Sc  0.500  0.500  0.337
Al  0.000  0.000  0.594
Cr  0.500  0.500  0.776

---

# 8
An optimized crystal structure of Sc2AlCr. Source: the Alexandria database, functional PBE.

DOS at the Fermi energy   5.577 states/eV/f.u.
ΔH_f (0 K)   -0.05 eV per atom

Lattice parameters (Å, degrees): 3.186 4.516 5.625 90.00 104.18 90.00
Positions (direct):
Sc  0.000  0.000  0.000
Sc  0.285  0.500  0.633
Al  0.588  0.500  0.185
Cr  0.696  0.000  0.449

---

# 9
An optimized crystal structure of Sc2Al2Cr. Source: the Alexandria database, functional PBE.

DOS at the Fermi energy   4.937 states/eV/f.u.
ΔH_f (0 K)   -0.14 eV per atom

Lattice parameters (Å, degrees): 6.971 6.971 4.059 90.00 90.00 90.00
Positions (direct):
Sc  0.172  0.328  0.000
Sc  0.328  0.828  0.000
Sc  0.672  0.172  0.000
Sc  0.828  0.672  0.000
Al  0.132  0.632  0.500
Al  0.368  0.132  0.500
Al  0.632  0.868  0.500
Al  0.868  0.368  0.500
Cr  0.000  0.000  0.500
Cr  0.500  0.500  0.500

---

# 10
An optimized crystal structure of ScAl2Cr. Source: the Alexandria database, functional PBE.

DOS at the Fermi energy   2.590 states/eV/f.u.
ΔH_f (0 K)   -0.01 eV per atom

Lattice parameters (Å, degrees): 4.701 4.701 5.258 97.99 97.99 35.07
Positions (direct):
Sc  0.000  0.000  0.000
Al  0.239  0.239  0.712
Al  0.761  0.761  0.288
Cr  0.500  0.500  0.500

---

# 11
An optimized crystal structure of ScAlCr2. Source: the Alexandria database, functional PBE.

DOS at the Fermi energy   3.782 states/eV/f.u.
ΔH_f (0 K)   0.21 eV per atom

Lattice parameters (Å, degrees): 8.639 8.639 8.639 19.32 19.32 19.32
Positions (direct):
Sc  0.000  0.000  0.000
Al  0.767  0.767  0.767
Cr  0.246  0.246  0.246
Cr  0.516  0.516  0.516

---

# 12
An optimized crystal structure of ScAl3Cr. Source: the Alexandria database, functional PBE.

DOS at the Fermi energy   3.218 states/eV/f.u.
ΔH_f (0 K)   0.14 eV per atom

Lattice parameters (Å, degrees): 4.571 4.571 4.571 90.00 90.00 90.00
Positions (direct):
Sc  0.000  0.000  0.000
Al  0.000  0.500  0.500
Al  0.500  0.000  0.500
Al  0.500  0.500  0.000
Cr  0.500  0.500  0.500

---

# 13
An optimized crystal structure of ScAl3Cr. Source: the Alexandria database, functional PBE.

DOS at the Fermi energy   3.756 states/eV/f.u.
ΔH_f (0 K)   -0.07 eV per atom

Lattice parameters (Å, degrees): 6.229 6.229 5.172 90.00 90.00 120.00
Positions (direct):
Sc  0.333  0.667  0.250
Sc  0.667  0.333  0.750
Al  0.191  0.383  0.750
Al  0.191  0.809  0.750
Al  0.383  0.191  0.250
Al  0.617  0.809  0.750
Al  0.809  0.191  0.250
Al  0.809  0.617  0.250
Cr  0.000  0.000  0.000
Cr  0.000  0.000  0.500

---

# 14
An optimized crystal structure of ScAlCr2. Source: the Alexandria database, functional PBE.

DOS at the Fermi energy   2.761 states/eV/f.u.
ΔH_f (0 K)   -0.08 eV per atom

Lattice parameters (Å, degrees): 3.025 3.025 6.663 90.00 90.00 90.00
Positions (direct):
Sc  0.000  0.000  0.000
Al  0.500  0.500  0.316
Cr  0.000  0.000  0.547
Cr  0.500  0.500  0.726

---

# 15
An optimized crystal structure of ScAlCr2. Source: the Alexandria database, functional PBE.

DOS at the Fermi energy   3.647 states/eV/f.u.
ΔH_f (0 K)   0.32 eV per atom

Lattice parameters (Å, degrees): 5.005 5.005 2.606 90.00 90.00 115.54
Positions (direct):
Sc  0.000  0.000  0.000
Al  0.500  0.500  0.000
Cr  0.000  0.500  0.500
Cr  0.500  0.000  0.500

---

# 16
An optimized crystal structure of Sc2AlCr. Source: the Alexandria database, functional PBE.

DOS at the Fermi energy   4.024 states/eV/f.u.
ΔH_f (0 K)   0.43 eV per atom

Lattice parameters (Å, degrees): 10.219 10.219 10.219 17.18 17.18 17.18
Positions (direct):
Sc  0.096  0.096  0.096
Sc  0.904  0.904  0.904
Al  0.000  0.000  0.000
Cr  0.500  0.500  0.500

---

# 17
An optimized crystal structure of TmScAlCr. Source: the Alexandria database, functional PBE.

DOS at the Fermi energy   3.387 states/eV/f.u.
ΔH_f (0 K)   -0.05 eV per atom

Lattice parameters (Å, degrees): 4.904 4.904 4.904 60.00 60.00 60.00
Positions (direct):
Tm  0.000  0.000  0.000
Sc  0.500  0.500  0.500
Al  0.250  0.250  0.250
Cr  0.750  0.750  0.750

---

# 18
An optimized crystal structure of Al2CrSe4. Source: the Alexandria database, functional PBE.

DOS at the Fermi energy   1.725 states/eV/f.u.
Energy relative to the elements, uncorrected   -4.55 eV per formula unit

Lattice parameters (Å, degrees): 7.054 7.054 6.370 115.45 115.45 30.79
Positions (direct):
Al  0.237  0.237  0.216
Al  0.763  0.763  0.784
Cr  0.500  0.500  0.500
Se  0.139  0.139  0.483
Se  0.376  0.376  0.048
Se  0.624  0.624  0.952
Se  0.861  0.861  0.517

---

# 19
An optimized crystal structure of Al3CrSe. Source: the Alexandria database, functional PBE.

DOS at the Fermi energy   2.824 states/eV/f.u.
Energy relative to the elements, uncorrected   3.02 eV per formula unit

Lattice parameters (Å, degrees): 4.871 4.871 4.871 90.00 90.00 90.00
Positions (direct):
Al  0.000  0.000  0.500
Al  0.000  0.500  0.000
Al  0.500  0.000  0.000
Cr  0.000  0.000  0.000
Se  0.500  0.500  0.500

---

# 20
An optimized crystal structure of AlCr2Se4. Source: the Alexandria database, functional PBE.

DOS at the Fermi energy   2.429 states/eV/f.u.
Energy relative to the elements, uncorrected   -4.09 eV per formula unit

Lattice parameters (Å, degrees): 7.534 7.534 7.531 119.97 119.97 90.06
Positions (direct):
Al  0.125  0.875  0.750
Al  0.875  0.125  0.250
Cr  0.000  0.500  0.000
Cr  0.500  0.000  0.500
Cr  0.500  0.500  0.000
Cr  0.500  0.500  0.500
Se  0.258  0.275  0.017
Se  0.258  0.742  0.016
Se  0.258  0.742  0.484
Se  0.275  0.258  0.517
Se  0.725  0.742  0.483
Se  0.742  0.258  0.516
Se  0.742  0.258  0.984
Se  0.742  0.725  0.983

---

# 21
An optimized crystal structure of Al2Cr4Se9. Source: the Alexandria database, functional PBE.

Energy relative to the elements, uncorrected   -8.91 eV per formula unit

Lattice parameters (Å, degrees): 6.418 6.418 17.169 90.00 90.00 120.00
Positions (direct):
Al  0.000  0.000  0.153
Al  0.000  0.000  0.347
Al  0.000  0.000  0.653
Al  0.000  0.000  0.847
Cr  0.333  0.667  0.013
Cr  0.333  0.667  0.321
Cr  0.333  0.667  0.513
Cr  0.333  0.667  0.821
Cr  0.667  0.333  0.179
Cr  0.667  0.333  0.487
Cr  0.667  0.333  0.679
Cr  0.667  0.333  0.987
Se  0.000  0.310  0.250
Se  0.000  0.690  0.750
Se  0.026  0.361  0.917
Se  0.026  0.666  0.417
Se  0.310  0.000  0.250
Se  0.310  0.310  0.750
Se  0.334  0.361  0.417
Se  0.334  0.974  0.917
Se  0.361  0.026  0.583
Se  0.361  0.334  0.083
Se  0.639  0.666  0.917
Se  0.639  0.974  0.417
Se  0.666  0.026  0.083
Se  0.666  0.639  0.583
Se  0.690  0.000  0.750
Se  0.690  0.690  0.250
Se  0.974  0.334  0.583
Se  0.974  0.639  0.083

---

# 22
An optimized crystal structure of AlCrSe. Source: the Alexandria database, functional PBE.

DOS at the Fermi energy   2.801 states/eV/f.u.
Energy relative to the elements, uncorrected   1.27 eV per formula unit

Lattice parameters (Å, degrees): 4.481 4.481 4.481 60.00 60.00 60.00
Positions (direct):
Al  0.000  0.000  0.000
Cr  0.500  0.500  0.500
Se  0.250  0.250  0.250

---

# 23
An optimized crystal structure of AlCrSe. Source: the Alexandria database, functional PBE.

DOS at the Fermi energy   1.253 states/eV/f.u.
Energy relative to the elements, uncorrected   -0.08 eV per formula unit

Lattice parameters (Å, degrees): 5.525 5.525 5.525 148.07 148.07 45.78
Positions (direct):
Al  0.000  0.000  0.000
Cr  0.659  0.659  0.000
Se  0.280  0.280  0.000

---

# 24
An optimized crystal structure of Al3CrSe. Source: the Alexandria database, functional PBE.

DOS at the Fermi energy   2.160 states/eV/f.u.
Energy relative to the elements, uncorrected   4.44 eV per formula unit

Lattice parameters (Å, degrees): 4.942 4.942 4.942 90.00 90.00 90.00
Positions (direct):
Al  0.000  0.000  0.500
Al  0.000  0.500  0.000
Al  0.500  0.000  0.000
Cr  0.500  0.500  0.500
Se  0.000  0.000  0.000

---

# 25
An optimized crystal structure of AlCrSe. Source: the Alexandria database, functional PBE.

DOS at the Fermi energy   2.490 states/eV/f.u.
Energy relative to the elements, uncorrected   0.55 eV per formula unit

Lattice parameters (Å, degrees): 4.399 4.399 4.399 60.00 60.00 60.00
Positions (direct):
Al  0.000  0.000  0.000
Cr  0.750  0.750  0.750
Se  0.500  0.500  0.500

---

# 26
An optimized crystal structure of AlCrSe. Source: the Alexandria database, functional PBE.

DOS at the Fermi energy   1.679 states/eV/f.u.
Energy relative to the elements, uncorrected   -0.22 eV per formula unit

Lattice parameters (Å, degrees): 3.101 3.101 5.760 90.00 90.00 120.00
Positions (direct):
Al  0.000  0.000  0.000
Cr  0.667  0.333  0.322
Se  0.333  0.667  0.599

---

Here are the calculated total DFT energy (no corrections) numbers, same order: -6.58 -7.18 -6.77 -6.31 -6.36 -6.63 -6.54 -6.55 -6.09 -5.87 -7.12 -5.29 -5.51 -7.41 -7.01 -6.08 -6.10 -5.09 -4.26 -5.86 -5.75 -5.19 -5.64 -3.98 -5.43 -5.69 (eV/atom).
Here are the calculated spin magnetization numbers, same order: 3.16 5.57 3.83 2.16 1.84 8.18 2.03 2.72 6.52 0.00 0.00 0.00 0.00 0.36 0.00 1.96 3.59 4.00 4.75 13.63 24.00 4.07 0.89 4.72 4.11 0.98 (μB/cell).